# 1
A relaxed structure of GaNi9B8, computed with GGA-PBE.

a b c (Å): 5.4104 5.4104 10.7742
angles (deg): 90.00 90.00 97.43
Atoms (fractional coordinates):
B  0.3836  0.0384  0.0508
B  0.9616  0.6164  0.0508
B  0.2214  0.7786  0.1189
B  0.5643  0.4357  0.2500
B  0.3515  0.6485  0.2500
B  0.2214  0.7786  0.3811
B  0.3836  0.0384  0.4491
B  0.9616  0.6164  0.4491
B  0.0384  0.3836  0.5509
B  0.6164  0.9616  0.5509
B  0.7786  0.2214  0.6189
B  0.6485  0.3515  0.7500
B  0.4357  0.5643  0.7500
B  0.7786  0.2214  0.8811
B  0.0384  0.3836  0.9491
B  0.6164  0.9616  0.9491
Ga  0.9129  0.0871  0.2500
Ga  0.0871  0.9129  0.7500
Ni  0.0000  0.0000  0.0000
Ni  0.7099  0.2901  0.0818
Ni  0.2405  0.3779  0.1136
Ni  0.6221  0.7595  0.1136
Ni  0.3918  0.0503  0.2500
Ni  0.9497  0.6082  0.2500
Ni  0.2405  0.3779  0.3864
Ni  0.6221  0.7595  0.3864
Ni  0.7099  0.2901  0.4182
Ni  0.0000  0.0000  0.5000
Ni  0.2901  0.7099  0.5818
Ni  0.3779  0.2405  0.6136
Ni  0.7595  0.6221  0.6136
Ni  0.0503  0.3918  0.7500
Ni  0.6082  0.9497  0.7500
Ni  0.3779  0.2405  0.8864
Ni  0.7595  0.6221  0.8864
Ni  0.2901  0.7099  0.9182

Summary:
Total moment   0.01 Bohr magnetons per cell
Space-group type   No. 63
Energy   -6.18 eV/atom



# 2
A relaxed structure of TlFeNiTe3, computed with GGA-PBE.

a b c (Å): 8.0128 8.0128 10.0399
angles (deg): 90.00 90.00 152.41
Each line ends with the local moment (μB).
Atoms (fractional coordinates):
Fe  0.0000  0.0000  0.0000  2.31
Fe  0.0000  0.0000  0.5000  2.33
Ni  0.5301  0.4699  0.2500  0.08
Ni  0.4699  0.5301  0.7500  0.08
Te  0.6182  0.3818  0.0426  -0.01
Te  0.9275  0.0725  0.2500  -0.04
Te  0.6182  0.3818  0.4574  -0.01
Te  0.3818  0.6182  0.5426  -0.01
Te  0.0725  0.9275  0.7500  -0.04
Te  0.3818  0.6182  0.9574  -0.01
Tl  0.2392  0.7608  0.2500  0.02
Tl  0.7608  0.2392  0.7500  0.02

Summary:
ΔE to the lowest computed polymorph   41 meV per atom
Total moment   4.82 Bohr magnetons per cell
Space-group type   No. 63
Energy   -4.34 eV/atom



# 3
A relaxed structure of NaSnAu3S4, computed with GGA-PBE.

a b c (Å): 6.1811 7.5158 10.6978
angles (deg): 90.00 103.68 90.00
Atoms (fractional coordinates):
Au  0.9826  0.2500  0.1467
Au  0.1267  0.0559  0.4056
Au  0.1267  0.4441  0.4056
Au  0.8733  0.5559  0.5944
Au  0.8733  0.9441  0.5944
Au  0.0174  0.7500  0.8533
Na  0.4331  0.7500  0.1153
Na  0.5669  0.2500  0.8847
S  0.3080  0.2500  0.0701
S  0.7910  0.5120  0.2552
S  0.7910  0.9880  0.2552
S  0.4391  0.2500  0.4839
S  0.5609  0.7500  0.5161
S  0.2090  0.0120  0.7448
S  0.2090  0.4880  0.7448
S  0.6920  0.7500  0.9299
Sn  0.5659  0.2500  0.2789
Sn  0.4341  0.7500  0.7211

Summary:
ΔE to the lowest computed polymorph   0 meV per atom
Space-group type   No. 11
Energy   -3.71 eV/atom



# 4
A relaxed structure of BaErGe, computed with GGA-PBE.

a b c (Å): 5.2623 5.2623 5.2623
angles (deg): 60.00 60.00 60.00
Atoms (fractional coordinates):
Ba  0.2500  0.2500  0.2500
Er  0.7500  0.7500  0.7500
Ge  0.0000  0.0000  0.0000

Summary:
Total moment   0.03 Bohr magnetons per cell
Space-group type   No. 216
Energy   -3.94 eV/atom



- energy of number 4 (BaErGe)?
  -3.94 eV/atom



- Which of these has the lowest energy?
  GaNi9B8